(1)
Below is a relaxed structure of Ba3Na4Sr4, with properties calculated at the PBE level.

Cell: 12.7396 12.7396 12.7396 Å, 159.81 125.84 58.39°
Closest atoms and distances in Å follow each position.
Element x y z (fractional)
Ba1 0.0000 0.0000 0.0000  4 Na 4.05, 2 Ba 4.47
Ba2 0.3988 0.8988 0.5000  6 Na 3.82-3.99
Ba3 0.6012 0.1012 0.5000  6 Na 3.82-3.99
Na1 0.2596 0.2596 0.0000  6 Sr 3.78-3.98, 2 Ba 3.82
Na2 0.2912 0.5000 0.7912  2 Sr 3.85, 6 Ba 3.99-4.05
Na3 0.7088 0.5000 0.2088  2 Sr 3.85, 6 Ba 3.99-4.05
Na4 0.7404 0.7404 0.0000  6 Sr 3.78-3.98, 2 Ba 3.82
Sr1 0.0248 0.3354 0.6894  4 Na 3.78-3.98
Sr2 0.3540 0.6646 0.6894  4 Na 3.78-3.98
Sr3 0.6460 0.3354 0.3106  4 Na 3.78-3.98
Sr4 0.9752 0.6646 0.3106  4 Na 3.78-3.98

Values from the calculation:
Raw total energy (eV per atom): -1.567
SG: No. 71
Energy of formation (eV/f.u.): 0.5

***

(2)
Below is a relaxed structure of Ba5Na6Sr, with properties calculated at the PBE level.

Cell: 11.4419 11.4419 6.6319 Å, 106.82 106.82 120.45°
Closest atoms and distances in Å follow each position.
Element x y z (fractional)
Ba1 0.0000 0.0000 0.0000  8 Na 4.02-4.07
Ba2 0.1666 0.8334 0.5000  8 Na 4.05-4.06
Ba3 0.3330 0.6670 0.0000  8 Na 4.01-4.08
Ba4 0.6670 0.3330 0.0000  8 Na 4.01-4.08
Ba5 0.8334 0.1666 0.5000  8 Na 4.05-4.06
Na1 0.0886 0.4178 0.2527  1 Sr 3.99, 7 Ba 4.02-4.08
Na2 0.2556 0.2556 0.7556  2 Sr 4.01, 6 Ba 4.01-4.07
Na3 0.4178 0.0886 0.2527  1 Sr 3.99, 7 Ba 4.02-4.08
Na4 0.5822 0.9114 0.7473  1 Sr 3.99, 7 Ba 4.02-4.08
Na5 0.7444 0.7444 0.2444  2 Sr 4.01, 6 Ba 4.01-4.07
Na6 0.9114 0.5822 0.7473  1 Sr 3.99, 7 Ba 4.02-4.08
Sr1 0.5000 0.5000 0.5000  8 Na 3.99-4.01

Values from the calculation:
Raw total energy (eV per atom): -1.589
SG: No. 12
Energy of formation (eV/f.u.): 0.1

***

(3)
Below is a relaxed structure of Ba2Na7Sr3, with properties calculated at the PBE level.

Cell: 12.3933 12.3933 12.3933 Å, 35.03 35.03 35.03°
Closest atoms and distances in Å follow each position.
Element x y z (fractional)
Ba1 0.1637 0.1637 0.1637  6 Na 3.89-3.96, 3 Sr 4.31, 3 Ba 4.31
Ba2 0.8363 0.8363 0.8363  6 Na 3.89-3.96, 3 Sr 4.31, 3 Ba 4.31
Na1 0.0000 0.0000 0.0000  6 Na 3.39
Na2 0.1015 0.1015 0.5792  3 Na 3.39-3.56
Na3 0.1015 0.5792 0.1015  3 Na 3.39-3.56
Na4 0.4208 0.8985 0.8985  3 Na 3.39-3.56
Na5 0.5792 0.1015 0.1015  3 Na 3.39-3.56
Na6 0.8985 0.4208 0.8985  3 Na 3.39-3.56
Na7 0.8985 0.8985 0.4208  3 Na 3.39-3.56
Sr1 0.3621 0.3621 0.3621  12 Na 4.03-4.42
Sr2 0.5000 0.5000 0.5000  6 Ba 4.31, 2 Sr 4.81
Sr3 0.6379 0.6379 0.6379  12 Na 4.03-4.42

Values from the calculation:
Raw total energy (eV per atom): -1.445
SG: No. 166
Energy of formation (eV/f.u.): 0.8

***

(4)
Below is a relaxed structure of Ba2Na2Sr3, with properties calculated at the PBE level.

Cell: 4.2738 41.3116 4.1793 Å, 90.00 90.00 90.00°
Closest atoms and distances in Å follow each position.
Element x y z (fractional)
Ba1 0.0000 0.2042 0.0000  4 Na 4.09, 6 Ba 4.18-4.34
Ba2 0.0000 0.7958 0.0000  4 Na 4.09, 6 Ba 4.18-4.34
Ba3 0.5000 0.2958 0.0000  4 Na 4.09, 6 Ba 4.18-4.34
Ba4 0.5000 0.7042 0.0000  4 Na 4.09, 6 Ba 4.18-4.34
Na1 0.0000 0.3634 0.5000  4 Sr 3.95, 4 Ba 4.09, 4 Na 4.18-4.27
Na2 0.0000 0.6366 0.5000  4 Sr 3.95, 4 Ba 4.09, 4 Na 4.18-4.27
Na3 0.5000 0.1366 0.5000  4 Sr 3.95, 4 Ba 4.09, 4 Na 4.18-4.27
Na4 0.5000 0.8634 0.5000  4 Sr 3.95, 4 Ba 4.09, 4 Na 4.18-4.27
Sr1 0.0000 0.0741 0.0000  4 Na 3.95, 8 Sr 4.18-4.28
Sr2 0.0000 0.5000 0.5000  12 Sr 4.18-4.28
Sr3 0.0000 0.9259 0.0000  4 Na 3.95, 8 Sr 4.18-4.28
Sr4 0.5000 0.0000 0.5000  12 Sr 4.18-4.28
Sr5 0.5000 0.4259 0.0000  4 Na 3.95, 8 Sr 4.18-4.28
Sr6 0.5000 0.5741 0.0000  4 Na 3.95, 8 Sr 4.18-4.28

Values from the calculation:
Raw total energy (eV per atom): -1.600
SG: No. 65
E above lowest polymorph (kJ/mol of formula units): 14.6
Energy of formation (eV/f.u.): 0.3

***

(5)
Below is a relaxed structure of Ba2NaSr, with properties calculated at the PBE level.

Cell: 9.7097 9.7097 9.7097 Å, 90.00 90.00 90.00°
Closest atoms and distances in Å follow each position.
Element x y z (fractional)
Ba1 0.2500 0.2500 0.2500  4 Na 4.20, 4 Sr 4.20
Ba2 0.2500 0.2500 0.7500  4 Na 4.20, 4 Sr 4.20
Ba3 0.2500 0.7500 0.2500  4 Na 4.20, 4 Sr 4.20
Ba4 0.2500 0.7500 0.7500  4 Na 4.20, 4 Sr 4.20
Ba5 0.7500 0.2500 0.2500  4 Na 4.20, 4 Sr 4.20
Ba6 0.7500 0.2500 0.7500  4 Na 4.20, 4 Sr 4.20
Ba7 0.7500 0.7500 0.2500  4 Na 4.20, 4 Sr 4.20
Ba8 0.7500 0.7500 0.7500  4 Na 4.20, 4 Sr 4.20
Na1 0.0000 0.0000 0.0000  8 Ba 4.20
Na2 0.0000 0.5000 0.5000  8 Ba 4.20
Na3 0.5000 0.0000 0.5000  8 Ba 4.20
Na4 0.5000 0.5000 0.0000  8 Ba 4.20
Sr1 0.0000 0.0000 0.5000  8 Ba 4.20
Sr2 0.0000 0.5000 0.0000  8 Ba 4.20
Sr3 0.5000 0.0000 0.0000  8 Ba 4.20
Sr4 0.5000 0.5000 0.5000  8 Ba 4.20

Values from the calculation:
Raw total energy (eV per atom): -1.648
SG: No. 225
E above lowest polymorph (kJ/mol of formula units): 18.4
Energy of formation (eV/f.u.): 0.3

***

(6)
Below is a relaxed structure of Ba4Na3Sr2, with properties calculated at the PBE level.

Cell: 11.1640 10.4568 8.6646 Å, 90.00 101.38 90.00°
Closest atoms and distances in Å follow each position.
Element x y z (fractional)
Ba1 0.0662 0.1633 0.3845  4 Na 3.69-3.98
Ba2 0.0662 0.3367 0.8845  4 Na 3.69-3.98
Ba3 0.4111 0.1025 0.2132  3 Na 3.94-4.05, 1 Sr 4.41
Ba4 0.4111 0.3975 0.7132  3 Na 3.94-4.05, 1 Sr 4.41
Ba5 0.5889 0.6025 0.2868  3 Na 3.94-4.05, 1 Sr 4.41
Ba6 0.5889 0.8975 0.7868  3 Na 3.94-4.05, 1 Sr 4.41
Ba7 0.9338 0.6633 0.1155  4 Na 3.69-3.98
Ba8 0.9338 0.8367 0.6155  4 Na 3.69-3.98
Na1 0.0000 0.0000 0.0000  4 Ba 3.69-3.77, 2 Na 3.95
Na2 0.0000 0.5000 0.5000  4 Ba 3.69-3.77, 2 Na 3.95
Na3 0.2625 0.0502 0.7605  5 Ba 3.74-4.05, 2 Sr 3.77-3.96, 1 Na 3.95
Na4 0.2625 0.4498 0.2605  5 Ba 3.74-4.05, 2 Sr 3.77-3.96, 1 Na 3.95
Na5 0.7375 0.5502 0.7395  5 Ba 3.74-4.05, 2 Sr 3.77-3.96, 1 Na 3.95
Na6 0.7375 0.9498 0.2395  5 Ba 3.74-4.05, 2 Sr 3.77-3.96, 1 Na 3.95
Sr1 0.2621 0.7229 0.9439  3 Na 3.77-4.21
Sr2 0.2621 0.7771 0.4439  3 Na 3.77-4.21
Sr3 0.7379 0.2229 0.5561  3 Na 3.77-4.21
Sr4 0.7379 0.2771 0.0561  3 Na 3.77-4.21

Values from the calculation:
Raw total energy (eV per atom): -1.600
SG: No. 14
Energy of formation (eV/f.u.): 0.6